# 1
An optimized crystal structure of ScTe2Os. Source: Alexandria, functional GGA-PBEsol.

Lattice parameters (Å, degrees): 6.3732 6.3732 6.3732 150.51 138.11 52.06
With the nearest neighbours (Å) after each atom.
Positions (direct):
Sc (0.0000, 0.0000, 0.0000)  2 Os 2.84, 6 Te 3.02-3.04
Te (0.3266, 0.8266, 0.5000)  4 Os 2.82, 2 Sc 3.02
Te (0.6048, 0.6048, 0.0000)  2 Os 2.73, 4 Sc 3.04
Os (0.7962, 0.2962, 0.5000)  6 Te 2.73-2.82, 2 Sc 2.84

Output
ΔE_f (raw)	-0.138	eV/atom
space group	Imm2

# 2
An optimized crystal structure of Sc6Te2Os. Source: Alexandria, functional GGA-PBEsol.

Lattice parameters (Å, degrees): 7.6370 7.6370 3.8089 90.00 90.00 120.00
With the nearest neighbours (Å) after each atom.
Positions (direct):
Sc (0.0000, 0.2402, 0.0000)  2 Os 2.64
Sc (0.0000, 0.6139, 0.5000)  1 Os 2.95, 4 Te 3.04, 4 Sc 3.21
Sc (0.2402, 0.0000, 0.0000)  2 Os 2.64
Sc (0.3861, 0.3861, 0.5000)  1 Os 2.95, 4 Te 3.04, 4 Sc 3.21
Sc (0.6139, 0.0000, 0.5000)  1 Os 2.95, 4 Te 3.04, 4 Sc 3.21
Sc (0.7598, 0.7598, 0.0000)  2 Os 2.64
Te (0.3333, 0.6667, 0.0000)  9 Sc 2.97-3.04
Te (0.6667, 0.3333, 0.0000)  9 Sc 2.97-3.04
Os (0.0000, 0.0000, 0.5000)  9 Sc 2.64-2.95

Output
ΔE_f (raw)	-0.750	eV/atom
space group	P-62m

# 3
An optimized crystal structure of ScTe2Os. Source: Alexandria, functional GGA-PBEsol.

Lattice parameters (Å, degrees): 9.5784 9.5784 9.5784 19.36 19.36 19.36
With the nearest neighbours (Å) after each atom.
Positions (direct):
Sc (0.0000, 0.0000, 0.0000)  6 Te 2.87
Te (0.4111, 0.4111, 0.4111)  1 Os 2.51
Te (0.5889, 0.5889, 0.5889)  1 Os 2.51
Os (0.5000, 0.5000, 0.5000)  2 Te 2.51

Output
ΔE_f (raw)	0.310	eV/atom
space group	R-3m

# 4
An optimized crystal structure of ScTe2Os. Source: Alexandria, functional GGA-PBEsol.

Lattice parameters (Å, degrees): 4.7147 4.7147 4.1625 90.00 90.00 103.22
With the nearest neighbours (Å) after each atom.
Positions (direct):
Sc (0.0000, 0.0000, 0.0000)  2 Os 2.93, 4 Te 2.96
Te (0.2857, 0.7143, 0.5000)  2 Os 2.62
Te (0.7143, 0.2857, 0.5000)  2 Os 2.62
Os (0.5000, 0.5000, 0.0000)  4 Te 2.62, 2 Sc 2.93

Output
ΔE_f (raw)	0.031	eV/atom
space group	Cmmm